[1]
{"formula": "LiPd14W", "functional": "GGA-PBE", "state": "optimized geometry", "lattice": [[5.590, 0.000, 0.000], [0.000, 5.590, 0.000], [0.000, 0.000, 7.764]], "species": ["Li", "Pd", "Pd", "Pd", "Pd", "Pd", "Pd", "Pd", "Pd", "Pd", "Pd", "Pd", "Pd", "Pd", "Pd", "W"], "fractional_positions": [[0.000, 0.000, 0.000], [0.000, 0.000, 0.500], [0.000, 0.500, 0.000], [0.000, 0.500, 0.500], [0.252, 0.252, 0.242], [0.252, 0.252, 0.758], [0.252, 0.748, 0.242], [0.252, 0.748, 0.758], [0.500, 0.000, 0.000], [0.500, 0.000, 0.500], [0.500, 0.500, 0.500], [0.748, 0.252, 0.242], [0.748, 0.252, 0.758], [0.748, 0.748, 0.242], [0.748, 0.748, 0.758], [0.500, 0.500, 0.000]], "dos_at_fermi_per_ev_cell": 22.81, "e_form_kj_per_mol_fu": -169, "e_tot_ev_per_atom": -5.58}

=====

[2]
{"formula": "HgOsRh", "functional": "GGA-PBE", "state": "optimized geometry", "lattice": [[1.993, -6.082, 0.000], [1.993, 6.082, 0.000], [0.000, 0.000, 4.106]], "species": ["Hg", "Hg", "Os", "Os", "Rh", "Rh"], "fractional_positions": [[0.000, 0.000, 0.000], [0.500, 0.500, 0.500], [0.189, 0.811, 0.500], [0.811, 0.189, 0.500], [0.322, 0.678, 0.000], [0.678, 0.322, 0.000]], "dos_at_fermi_per_ev_cell": 5.51, "e_form_kj_per_mol_fu": 104, "polymorph_energy_kcal_per_mol_atoms": 1.25, "e_tot_ev_per_atom": -5.94}

=====

[3]
{"formula": "Sm5Te2Pb2", "functional": "GGA-PBE", "state": "optimized geometry", "lattice": [[7.901, -4.151, 0.000], [7.901, 4.151, 0.000], [0.000, 0.000, 8.372]], "species": ["Sm", "Sm", "Sm", "Sm", "Sm", "Sm", "Sm", "Sm", "Sm", "Sm", "Te", "Te", "Te", "Te", "Pb", "Pb", "Pb", "Pb"], "fractional_positions": [[0.000, 0.000, 0.000], [0.029, 0.697, 0.662], [0.197, 0.529, 0.162], [0.303, 0.971, 0.662], [0.471, 0.803, 0.162], [0.500, 0.500, 0.500], [0.529, 0.197, 0.838], [0.697, 0.029, 0.338], [0.803, 0.471, 0.838], [0.971, 0.303, 0.338], [0.200, 0.200, 0.000], [0.300, 0.300, 0.500], [0.700, 0.700, 0.500], [0.800, 0.800, 0.000], [0.138, 0.862, 0.363], [0.362, 0.638, 0.863], [0.638, 0.362, 0.137], [0.862, 0.138, 0.637]], "dos_at_fermi_per_ev_cell": 17.61, "e_form_raw_ev_per_atom": -0.914, "polymorph_energy_kcal_per_mol_atoms": 0.00, "e_tot_ev_per_atom": -5.06}

=====

[4]
{"formula": "K3H9Rh2", "functional": "GGA-PBE", "state": "optimized geometry", "lattice": [[5.753, 0.000, 0.000], [-2.877, 4.982, 0.000], [0.000, 0.000, 14.590]], "species": ["K", "K", "K", "K", "K", "K", "H", "H", "H", "H", "H", "H", "H", "H", "H", "H", "H", "H", "H", "H", "H", "H", "H", "H", "Rh", "Rh", "Rh", "Rh"], "fractional_positions": [[0.000, 0.000, 0.250], [0.000, 0.000, 0.750], [0.333, 0.667, 0.086], [0.333, 0.667, 0.414], [0.667, 0.333, 0.586], [0.667, 0.333, 0.914], [0.061, 0.530, 0.750], [0.212, 0.424, 0.591], [0.212, 0.424, 0.909], [0.212, 0.788, 0.591], [0.212, 0.788, 0.909], [0.424, 0.212, 0.091], [0.424, 0.212, 0.409], [0.470, 0.530, 0.750], [0.470, 0.939, 0.750], [0.530, 0.061, 0.250], [0.530, 0.470, 0.250], [0.576, 0.788, 0.591], [0.576, 0.788, 0.909], [0.788, 0.212, 0.091], [0.788, 0.212, 0.409], [0.788, 0.576, 0.091], [0.788, 0.576, 0.409], [0.939, 0.470, 0.250], [0.333, 0.667, 0.663], [0.333, 0.667, 0.837], [0.667, 0.333, 0.163], [0.667, 0.333, 0.337]], "dos_at_fermi_per_ev_cell": 0.00, "e_tot_ev_per_atom": -3.74}

=====

[5]
{"formula": "AcNd4Dy7", "functional": "GGA-PBE", "state": "optimized geometry", "lattice": [[6.335, 0.000, 0.000], [-0.014, 7.309, 0.000], [-2.128, -0.011, 8.776]], "species": ["Ac", "Nd", "Nd", "Nd", "Nd", "Dy", "Dy", "Dy", "Dy", "Dy", "Dy", "Dy"], "fractional_positions": [[0.000, 0.000, 0.000], [0.221, 0.499, 0.668], [0.281, 0.749, 0.336], [0.719, 0.251, 0.664], [0.779, 0.501, 0.332], [0.000, 0.500, 0.000], [0.223, 0.999, 0.664], [0.280, 0.251, 0.334], [0.500, 0.251, 0.001], [0.500, 0.749, 0.999], [0.720, 0.749, 0.666], [0.777, 0.001, 0.336]], "dos_at_fermi_per_ev_cell": 17.98, "e_form_kj_per_mol_fu": 27, "polymorph_energy_kcal_per_mol_atoms": 0.00, "e_tot_ev_per_atom": -4.59}

=====

[6]
{"formula": "Cs2BiSbF6", "functional": "GGA-PBE", "state": "optimized geometry", "lattice": [[-3.231, 3.231, 6.181], [3.231, -3.231, 6.181], [3.231, 3.231, -6.181]], "species": ["Cs", "Cs", "Bi", "Sb", "F", "F", "F", "F", "F", "F"], "fractional_positions": [[0.250, 0.750, 0.500], [0.750, 0.250, 0.500], [0.000, 0.000, 0.000], [0.500, 0.500, 0.000], [0.182, 0.182, 0.000], [0.249, 0.249, 0.498], [0.249, 0.751, 0.000], [0.751, 0.249, 0.000], [0.751, 0.751, 0.502], [0.818, 0.818, 0.000]], "dos_at_fermi_per_ev_cell": 0.00, "e_form_raw_ev_per_atom": -2.231, "e_tot_ev_per_atom": -4.32}